DFT (PBE-GGA) results for SiIrAu2 after structural relaxation.

abc: 2.958 2.958 25.628
angles: 90.00 90.00 120.00
Element x y z (fractional)
Si  0.000  0.000  0.000
Si  0.333  0.667  0.667
Si  0.667  0.333  0.333
Ir  0.000  0.000  0.500
Ir  0.333  0.667  0.167
Ir  0.667  0.333  0.833
Au  0.000  0.000  0.256
Au  0.000  0.000  0.744
Au  0.333  0.667  0.410
Au  0.333  0.667  0.923
Au  0.667  0.333  0.077
Au  0.667  0.333  0.590

Fermi-level density of states = 0.895 states/eV/atom
ΔE_f (raw) = 0.315 eV per atom
space-group type = R-3m (166)